# 1
The following is a DFT calculation (SCAN) of LiMgTa2 at its PBEsol-relaxed geometry.

POSCAR file:
```
LiMgTa2
1.0
2.8312 0.0101 0.0000
-0.8746 2.6927 0.0000
0.0000 0.0000 9.6614
Li Mg Ta
1 1 2
direct
0.0000 0.0000 0.5056
0.5000 0.5000 0.2444
0.0000 0.0000 0.9884
0.5000 0.5000 0.7615
```

Properties
The calculation puts the formation energy at 171.6 meV per atom. Its space group is Cmm2, No. 35.



# 2
The following is a DFT calculation (SCAN) of BaAlIr2 at its PBEsol-relaxed geometry.

POSCAR file:
```
BaAlIr2
1.0
-0.9603 0.8340 2.6616
-0.0357 -4.1258 1.2800
6.5463 0.3286 1.2416
Ir Ba Al
2 1 1
direct
0.0423 0.0000 0.1188
0.5930 0.5000 0.2031
0.2331 0.5000 0.7566
0.6316 0.0000 0.4215
```

Properties
The calculation puts the formation energy at -45.4 meV per atom. Its space group is Pm, No. 6.



# 3
The following is a DFT calculation (SCAN) of ScVO3 at its PBEsol-relaxed geometry.

POSCAR file:
```
ScVO3
1.0
-4.5715 2.0018 -0.1146
-1.8233 -3.9833 3.1522
1.6086 4.0175 6.0070
Sc V O
4 4 12
direct
0.9744 0.0741 0.7500
0.4744 0.4259 0.2500
0.5256 0.5741 0.7500
0.0256 0.9259 0.2500
0.5000 0.0000 0.5000
0.5000 0.0000 0.0000
0.0000 0.5000 0.5000
0.0000 0.5000 0.0000
0.6405 0.0618 0.2500
0.1829 0.1908 0.0696
0.1829 0.1908 0.4304
0.6829 0.3092 0.5696
0.6829 0.3092 0.9304
0.1405 0.4382 0.7500
0.8595 0.5618 0.2500
0.3171 0.6908 0.0696
0.3171 0.6908 0.4304
0.8171 0.8092 0.5696
0.8171 0.8092 0.9304
0.3595 0.9382 0.7500
```

Properties
As for the uncorrected formation energy: -3.244 eV/atom. Its space group is Pnma, No. 62.



# 4
The following is a DFT calculation (SCAN) of Al2TcBr at its PBEsol-relaxed geometry.

POSCAR file:
```
Al2TcBr
1.0
-2.2951 -2.1062 0.2921
-0.0295 -1.9526 2.4444
-5.0756 3.9093 5.0637
Tc Br Al
1 1 2
direct
0.0000 0.0000 0.0000
0.5000 0.5000 0.5000
0.2580 0.2580 0.2261
0.7420 0.7420 0.7739
```

Properties
As for the uncorrected formation energy: -0.118 eV/atom. Its space group is R-3m, No. 166.



# 5
The following is a DFT calculation (SCAN) of InReTe at its PBEsol-relaxed geometry.

POSCAR file:
```
InReTe
1.0
4.6332 0.0000 0.0000
2.3166 4.0125 0.0000
2.3166 1.3375 3.7830
In Re Te
1 1 1
direct
0.2500 0.2500 0.2500
0.0000 0.0000 0.0000
0.5000 0.5000 0.5000
```

Properties
As for the uncorrected formation energy: 1.580 eV/atom. Its space group is F-43m, No. 216.



# 6
The following is a DFT calculation (SCAN) of LaMg2Sc at its PBEsol-relaxed geometry.

POSCAR file:
```
LaMg2Sc
1.0
3.5962 0.0000 0.0000
0.0000 3.5962 0.0000
0.0000 0.0000 8.0480
Sc Mg La
1 2 1
direct
0.5000 0.5000 0.0000
0.0000 0.0000 0.7825
0.0000 0.0000 0.2175
0.5000 0.5000 0.5000
```

Properties
The calculation puts the formation energy at -69.7 meV per atom. Its space group is P4/mmm, No. 123.



# 7
The following is a DFT calculation (SCAN) of Fe2ReBr at its PBEsol-relaxed geometry.

POSCAR file:
```
Fe2ReBr
1.0
-2.4024 -0.7591 -1.0047
1.9340 -1.9013 -0.0402
-2.5751 -2.7940 8.2681
Br Fe Re
1 2 1
direct
0.5000 0.5000 0.2089
0.0000 0.0000 0.9757
0.5000 0.5000 0.7670
0.0000 0.0000 0.5483
```

Properties
As for the uncorrected formation energy: 0.725 eV/atom. Its space group is Cmm2, No. 35.



# 8
The following is a DFT calculation (SCAN) of Al2P3S9 at its PBEsol-relaxed geometry.

POSCAR file:
```
Al2P3S9
1.0
-2.2699 -5.3833 4.3130
9.0451 0.0875 4.8697
-6.8276 7.4877 1.7112
P S Al
6 18 4
direct
0.6551 0.8611 0.7050
0.3449 0.1561 0.2950
0.6559 0.5152 0.0259
0.3441 0.4893 0.9741
0.6564 0.1820 0.3721
0.3436 0.8099 0.6279
0.7382 0.4122 0.1495
0.2618 0.2627 0.8505
0.7137 0.7391 0.8215
0.2863 0.9176 0.1785
0.7310 0.0659 0.4824
0.2690 0.5835 0.5176
0.7370 0.7635 0.5058
0.2630 0.2577 0.4942
0.7288 0.4292 0.8237
0.2712 0.6055 0.1763
0.7149 0.0840 0.1532
0.2851 0.9308 0.8468
0.7145 0.7535 0.1667
0.2855 0.5868 0.8333
0.7369 0.4087 0.5014
0.2631 0.9073 0.4986
0.7286 0.0877 0.8453
0.2714 0.2424 0.1547
0.4991 0.4878 0.6516
0.5009 0.8362 0.3484
0.5000 0.1839 0.0000
0.5000 0.8352 0.0000
```

Properties
As for the uncorrected formation energy: -0.631 eV/atom. Its space group is C2, No. 5.